Entry 1:
# MgZr2Al PBE relaxed
data_MgZr2Al
_chemical_formula_sum 'Mg1 Zr2 Al1'
_cell_length_a 3.135
_cell_length_b 3.135
_cell_length_c 8.566
_cell_angle_alpha 90.00
_cell_angle_beta 90.00
_cell_angle_gamma 90.00
_symmetry_space_group_name_H-M 'P 1'
_symmetry_Int_Tables_number 1
loop_
_symmetry_equiv_pos_as_xyz
'x,y,z'
loop_
_atom_site_label
_atom_site_fract_x
_atom_site_fract_y
_atom_site_fract_z
Mg1 0.000 0.000 0.000
Zr1 0.000 0.000 0.544
Zr2 0.500 0.500 0.271
Al1 0.500 0.500 0.774
# symmetry: P4mm, No. 99
# ΔH_f (0 K): -0.13 eV/atom
# total magnetic moment: 0.0 μB per cell



Entry 2:
# MgZrAl2 PBE relaxed
data_MgZrAl2
_chemical_formula_sum 'Mg1 Zr1 Al2'
_cell_length_a 3.036
_cell_length_b 4.174
_cell_length_c 6.056
_cell_angle_alpha 90.00
_cell_angle_beta 90.58
_cell_angle_gamma 90.00
_symmetry_space_group_name_H-M 'P 1'
_symmetry_Int_Tables_number 1
loop_
_symmetry_equiv_pos_as_xyz
'x,y,z'
loop_
_atom_site_label
_atom_site_fract_x
_atom_site_fract_y
_atom_site_fract_z
Mg1 0.000 0.000 0.000
Zr1 0.000 0.000 0.500
Al1 0.498 0.500 0.252
Al2 0.502 0.500 0.748
# symmetry: P2/m, No. 10
# ΔH_f (0 K): -0.21 eV/atom
# total magnetic moment: 0.0 μB per cell



Entry 3:
# Mg6ZrAl PBE relaxed
data_Mg6ZrAl
_chemical_formula_sum 'Mg12 Zr2 Al2'
_cell_length_a 4.917
_cell_length_b 6.364
_cell_length_c 11.095
_cell_angle_alpha 90.00
_cell_angle_beta 90.00
_cell_angle_gamma 90.00
_symmetry_space_group_name_H-M 'P 1'
_symmetry_Int_Tables_number 1
loop_
_symmetry_equiv_pos_as_xyz
'x,y,z'
loop_
_atom_site_label
_atom_site_fract_x
_atom_site_fract_y
_atom_site_fract_z
Mg1 0.000 0.000 0.000
Mg2 0.000 0.247 0.752
Mg3 0.000 0.253 0.252
Mg4 0.000 0.500 0.500
Mg5 0.000 0.747 0.252
Mg6 0.000 0.753 0.752
Mg7 0.500 0.000 0.163
Mg8 0.500 0.248 0.415
Mg9 0.500 0.252 0.915
Mg10 0.500 0.500 0.663
Mg11 0.500 0.748 0.915
Mg12 0.500 0.752 0.415
Zr1 0.000 0.000 0.509
Zr2 0.000 0.500 0.009
Al1 0.500 0.000 0.655
Al2 0.500 0.500 0.155
# symmetry: Amm2, No. 38
# ΔH_f (0 K): 0.01 eV/atom
# total magnetic moment: 0.0 μB per cell



Entry 4:
# MgZr2Al PBE relaxed
data_MgZr2Al
_chemical_formula_sum 'Mg2 Zr4 Al2'
_cell_length_a 4.404
_cell_length_b 4.404
_cell_length_c 8.475
_cell_angle_alpha 90.00
_cell_angle_beta 90.00
_cell_angle_gamma 90.00
_symmetry_space_group_name_H-M 'P 1'
_symmetry_Int_Tables_number 1
loop_
_symmetry_equiv_pos_as_xyz
'x,y,z'
loop_
_atom_site_label
_atom_site_fract_x
_atom_site_fract_y
_atom_site_fract_z
Mg1 0.000 0.000 0.000
Mg2 0.500 0.500 0.500
Zr1 0.000 0.500 0.250
Zr2 0.000 0.500 0.750
Zr3 0.500 0.000 0.250
Zr4 0.500 0.000 0.750
Al1 0.000 0.000 0.500
Al2 0.500 0.500 0.000
# symmetry: I4/mmm, No. 139
# ΔH_f (0 K): -0.19 eV/atom
# total magnetic moment: 0.0 μB per cell



Entry 5:
# MgZr2Al PBE relaxed
data_MgZr2Al
_chemical_formula_sum 'Mg2 Zr4 Al2'
_cell_length_a 6.232
_cell_length_b 8.607
_cell_length_c 3.075
_cell_angle_alpha 90.00
_cell_angle_beta 90.00
_cell_angle_gamma 90.00
_symmetry_space_group_name_H-M 'P 1'
_symmetry_Int_Tables_number 1
loop_
_symmetry_equiv_pos_as_xyz
'x,y,z'
loop_
_atom_site_label
_atom_site_fract_x
_atom_site_fract_y
_atom_site_fract_z
Mg1 0.000 0.000 0.000
Mg2 0.500 0.500 0.000
Zr1 0.250 0.250 0.500
Zr2 0.250 0.750 0.500
Zr3 0.750 0.250 0.500
Zr4 0.750 0.750 0.500
Al1 0.000 0.500 0.000
Al2 0.500 0.000 0.000
# symmetry: Cmmm, No. 65
# ΔH_f (0 K): -0.19 eV/atom
# total magnetic moment: 0.0 μB per cell



Entry 6:
# MgZr2Al PBE relaxed
data_MgZr2Al
_chemical_formula_sum 'Mg4 Zr8 Al4'
_cell_length_a 7.880
_cell_length_b 7.880
_cell_length_c 5.630
_cell_angle_alpha 90.00
_cell_angle_beta 90.00
_cell_angle_gamma 90.00
_symmetry_space_group_name_H-M 'P 1'
_symmetry_Int_Tables_number 1
loop_
_symmetry_equiv_pos_as_xyz
'x,y,z'
loop_
_atom_site_label
_atom_site_fract_x
_atom_site_fract_y
_atom_site_fract_z
Mg1 0.000 0.000 0.000
Mg2 0.000 0.500 0.250
Mg3 0.500 0.000 0.750
Mg4 0.500 0.500 0.500
Zr1 0.240 0.250 0.625
Zr2 0.250 0.740 0.875
Zr3 0.250 0.760 0.375
Zr4 0.260 0.250 0.125
Zr5 0.740 0.750 0.125
Zr6 0.750 0.240 0.375
Zr7 0.750 0.260 0.875
Zr8 0.760 0.750 0.625
Al1 0.000 0.000 0.500
Al2 0.000 0.500 0.750
Al3 0.500 0.000 0.250
Al4 0.500 0.500 0.000
# symmetry: I-42d, No. 122
# ΔH_f (0 K): 0.22 eV/atom
# total magnetic moment: 0.0 μB per cell



Entry 7:
# MgZr2Al PBE relaxed
data_MgZr2Al
_chemical_formula_sum 'Mg1 Zr2 Al1'
_cell_length_a 3.174
_cell_length_b 4.290
_cell_length_c 6.238
_cell_angle_alpha 90.00
_cell_angle_beta 90.00
_cell_angle_gamma 90.00
_symmetry_space_group_name_H-M 'P 1'
_symmetry_Int_Tables_number 1
loop_
_symmetry_equiv_pos_as_xyz
'x,y,z'
loop_
_atom_site_label
_atom_site_fract_x
_atom_site_fract_y
_atom_site_fract_z
Mg1 0.000 0.000 0.000
Zr1 0.000 0.000 0.510
Zr2 0.500 0.500 0.263
Al1 0.500 0.500 0.750
# symmetry: Pmm2, No. 25
# ΔH_f (0 K): -0.07 eV/atom
# total magnetic moment: 0.0 μB per cell



Entry 8:
# MgZrAl2 PBE relaxed
data_MgZrAl2
_chemical_formula_sum 'Mg2 Zr2 Al4'
_cell_length_a 9.524
_cell_length_b 3.037
_cell_length_c 5.546
_cell_angle_alpha 90.00
_cell_angle_beta 100.29
_cell_angle_gamma 90.00
_symmetry_space_group_name_H-M 'P 1'
_symmetry_Int_Tables_number 1
loop_
_symmetry_equiv_pos_as_xyz
'x,y,z'
loop_
_atom_site_label
_atom_site_fract_x
_atom_site_fract_y
_atom_site_fract_z
Mg1 0.000 0.000 0.000
Mg2 0.500 0.500 0.000
Zr1 0.000 0.500 0.500
Zr2 0.500 0.000 0.500
Al1 0.248 0.500 0.251
Al2 0.252 0.000 0.749
Al3 0.748 0.000 0.251
Al4 0.752 0.500 0.749
# symmetry: C2/m, No. 12
# ΔH_f (0 K): -0.07 eV/atom
# total magnetic moment: 0.0 μB per cell



Entry 9:
# MgZr4Al PBE relaxed
data_MgZr4Al
_chemical_formula_sum 'Mg1 Zr4 Al1'
_cell_length_a 5.778
_cell_length_b 5.778
_cell_length_c 5.778
_cell_angle_alpha 60.00
_cell_angle_beta 60.00
_cell_angle_gamma 60.00
_symmetry_space_group_name_H-M 'P 1'
_symmetry_Int_Tables_number 1
loop_
_symmetry_equiv_pos_as_xyz
'x,y,z'
loop_
_atom_site_label
_atom_site_fract_x
_atom_site_fract_y
_atom_site_fract_z
Mg1 0.000 0.000 0.000
Zr1 0.126 0.625 0.625
Zr2 0.625 0.126 0.625
Zr3 0.625 0.625 0.126
Zr4 0.625 0.625 0.625
Al1 0.250 0.250 0.250
# symmetry: F-43m, No. 216
# ΔH_f (0 K): 0.27 eV/atom
# total magnetic moment: 0.0 μB per cell



Entry 10:
# MgZr2Al PBE relaxed
data_MgZr2Al
_chemical_formula_sum 'Mg2 Zr4 Al2'
_cell_length_a 3.257
_cell_length_b 5.067
_cell_length_c 10.070
_cell_angle_alpha 90.00
_cell_angle_beta 90.00
_cell_angle_gamma 90.00
_symmetry_space_group_name_H-M 'P 1'
_symmetry_Int_Tables_number 1
loop_
_symmetry_equiv_pos_as_xyz
'x,y,z'
loop_
_atom_site_label
_atom_site_fract_x
_atom_site_fract_y
_atom_site_fract_z
Mg1 0.000 0.000 0.000
Mg2 0.500 0.500 0.500
Zr1 0.000 0.000 0.527
Zr2 0.000 0.500 0.767
Zr3 0.500 0.000 0.267
Zr4 0.500 0.500 0.027
Al1 0.000 0.500 0.275
Al2 0.500 0.000 0.775
# symmetry: Imm2, No. 44
# ΔH_f (0 K): -0.15 eV/atom
# total magnetic moment: 0.0 μB per cell



Entry 11:
# MgZrAl2 PBE relaxed
data_MgZrAl2
_chemical_formula_sum 'Mg2 Zr2 Al4'
_cell_length_a 6.011
_cell_length_b 8.504
_cell_length_c 2.993
_cell_angle_alpha 90.00
_cell_angle_beta 90.18
_cell_angle_gamma 90.00
_symmetry_space_group_name_H-M 'P 1'
_symmetry_Int_Tables_number 1
loop_
_symmetry_equiv_pos_as_xyz
'x,y,z'
loop_
_atom_site_label
_atom_site_fract_x
_atom_site_fract_y
_atom_site_fract_z
Mg1 0.000 0.000 0.000
Mg2 0.500 0.500 0.000
Zr1 0.000 0.500 0.000
Zr2 0.500 0.000 0.000
Al1 0.250 0.250 0.500
Al2 0.250 0.750 0.500
Al3 0.750 0.250 0.500
Al4 0.750 0.750 0.500
# symmetry: C2/m, No. 12
# ΔH_f (0 K): -0.26 eV/atom
# total magnetic moment: 0.0 μB per cell



Entry 12:
# MgZrAl2 PBE relaxed
data_MgZrAl2
_chemical_formula_sum 'Mg4 Zr4 Al8'
_cell_length_a 6.712
_cell_length_b 6.712
_cell_length_c 6.712
_cell_angle_alpha 90.00
_cell_angle_beta 90.00
_cell_angle_gamma 90.00
_symmetry_space_group_name_H-M 'P 1'
_symmetry_Int_Tables_number 1
loop_
_symmetry_equiv_pos_as_xyz
'x,y,z'
loop_
_atom_site_label
_atom_site_fract_x
_atom_site_fract_y
_atom_site_fract_z
Mg1 0.000 0.000 0.000
Mg2 0.000 0.500 0.500
Mg3 0.500 0.000 0.500
Mg4 0.500 0.500 0.000
Zr1 0.250 0.250 0.250
Zr2 0.250 0.750 0.750
Zr3 0.750 0.250 0.750
Zr4 0.750 0.750 0.250
Al1 0.000 0.000 0.500
Al2 0.000 0.500 0.000
Al3 0.250 0.250 0.750
Al4 0.250 0.750 0.250
Al5 0.500 0.000 0.000
Al6 0.500 0.500 0.500
Al7 0.750 0.250 0.250
Al8 0.750 0.750 0.750
# symmetry: F-43m, No. 216
# ΔH_f (0 K): 0.06 eV/atom
# total magnetic moment: 0.0 μB per cell



Entry 13:
# MgZr2Al PBE relaxed
data_MgZr2Al
_chemical_formula_sum 'Mg1 Zr2 Al1'
_cell_length_a 3.080
_cell_length_b 4.190
_cell_length_c 6.394
_cell_angle_alpha 90.00
_cell_angle_beta 90.00
_cell_angle_gamma 90.00
_symmetry_space_group_name_H-M 'P 1'
_symmetry_Int_Tables_number 1
loop_
_symmetry_equiv_pos_as_xyz
'x,y,z'
loop_
_atom_site_label
_atom_site_fract_x
_atom_site_fract_y
_atom_site_fract_z
Mg1 0.000 0.000 0.000
Zr1 0.500 0.500 0.261
Zr2 0.500 0.500 0.739
Al1 0.000 0.000 0.500
# symmetry: Pmmm, No. 47
# ΔH_f (0 K): -0.20 eV/atom
# total magnetic moment: 0.0 μB per cell